Compound: LiPrIn4
Source: Alexandria via LeMat-Bulk
Functional: PBE
Structure: relaxed

```
6
Lattice="-3.898 2.175 0.812 -1.951 -3.929 1.159 2.261 1.162 7.747" Properties=species:S:1:pos:R:3 pbc="T T T"
Li -1.794 -0.296 4.859
In -0.299 -1.617 2.899
In 0.609 -1.151 6.008
In -0.365 1.902 5.834
In -1.272 1.435 2.725
Pr 0.000 0.000 0.000
```

Results
The density of states at the Fermi level is 4.00 states/eV/f.u. The formation energy is -61 kJ/mol of formula units.